[1]
PaCdIn2: relaxed, PBE.

The value obtained for the density of states at the Fermi level is 19.69 states/eV per cell. Its energy is -0.2791 Ry/atom. The calculation puts the energy above the most stable polymorph in this dataset at 0.224 eV per atom. The density comes out at 9.52 g cm⁻³. The value obtained for the calculated volume is 399.7 Å³/cell. The energy of formation comes out at 0.70 eV/f.u.

It has space group F-43m (No. 216), with a = 7.366 Å, b = 7.366 Å, c = 7.366 Å, α = 90.00°, β = 90.00° and γ = 90.00°. The asymmetric unit holds Pa at (0.000, 0.000, 0.000), Cd at (0.250, 0.250, 0.750), In at (0.000, 0.000, 0.500) and In at (0.250, 0.250, 0.250).

=====

[2]
AsP2Br: relaxed, PBE.

The value obtained for the density of states at the Fermi level is 2.39 states/eV per cell. Its energy is -0.2826 Ry/atom. The energy relative to the elements, uncorrected comes out at 441 meV/atom. The calculation puts the energy above the most stable polymorph in this dataset at 0.345 eV per atom. The density comes out at 4.02 g cm⁻³. The value obtained for the calculated volume is 89.6 Å³/cell.

It has space group P4/mmm (No. 123), with a = 3.391 Å, b = 3.391 Å, c = 7.792 Å, α = 90.00°, β = 90.00° and γ = 90.00°. The asymmetric unit holds As at (0.000, 0.000, 0.000), P at (0.500, 0.500, 0.146) and Br at (0.000, 0.000, 0.500).

=====

[3]
CrMo2Ir: relaxed, PBE.

The value obtained for the density of states at the Fermi level is 14.64 states/eV per cell. Its energy is -0.7236 Ry/atom. The calculation puts the energy above the most stable polymorph in this dataset at 0.176 eV per atom. The density comes out at 12.25 g cm⁻³. The value obtained for the calculated volume is 177.3 Å³/cell. The energy of formation comes out at 0.77 eV/f.u.

It has space group R3m (No. 160, hexagonal axes), with a = 2.7309 Å, b = 2.7309 Å, c = 27.4576 Å, α = 90.00°, β = 90.00° and γ = 120.00°. The asymmetric unit holds Cr at (0.0000, 0.0000, 0.0000), Mo at (0.0000, 0.0000, 0.2501), Mo at (0.0000, 0.0000, 0.4926) and Ir at (0.0000, 0.0000, 0.7410).

=====

[4]
GdErGe: relaxed, PBE.

The value obtained for the density of states at the Fermi level is 2.43 states/eV per cell. Its energy is -0.5987 Ry/atom. The calculation puts the energy above the most stable polymorph in this dataset at 0.145 eV per atom. The density comes out at 8.24 g cm⁻³. The value obtained for the calculated volume is 80.1 Å³/cell. The energy of formation comes out at -1.17 eV/f.u.

It has space group P3m1 (No. 156), with a = 4.7191 Å, b = 4.7191 Å, c = 4.1508 Å, α = 90.00°, β = 90.00° and γ = 120.00°. The asymmetric unit holds Gd at (0.0000, 0.0000, 0.0000), Er at (0.3333, 0.6667, 0.5206) and Ge at (0.6667, 0.3333, 0.3562).

=====

[5]
LiSeN2: relaxed, PBE.

The value obtained for the density of states at the Fermi level is 5.45 states/eV per cell. Its energy is -0.3569 Ry/atom. The energy relative to the elements, uncorrected comes out at 656 meV/atom. The density comes out at 3.71 g cm⁻³. The value obtained for the calculated volume is 203.9 Å³/cell.

It has space group I-42d (No. 122), with a = 4.678 Å, b = 4.678 Å, c = 9.318 Å, α = 90.00°, β = 90.00° and γ = 90.00°. The asymmetric unit holds Li at (0.000, 0.000, 0.000), Se at (0.000, 0.000, 0.500) and N at (0.212, 0.250, 0.625).

=====

[6]
NaNd2Sm: relaxed, PBE.

The value obtained for the density of states at the Fermi level is 5.32 states/eV per cell. Its energy is -0.2718 Ry/atom. The calculation puts the energy above the most stable polymorph in this dataset at 0.102 eV per atom. The density comes out at 5.62 g cm⁻³. The value obtained for the calculated volume is 136.5 Å³/cell. The energy of formation comes out at 0.78 eV/f.u.

It has space group P4/mmm (No. 123), with a = 6.034 Å, b = 6.034 Å, c = 3.749 Å, α = 90.00°, β = 90.00° and γ = 90.00°. The asymmetric unit holds Na at (0.000, 0.000, 0.000), Nd at (0.000, 0.500, 0.500) and Sm at (0.500, 0.500, 0.000).

=====

[7]
AlAgMo: relaxed, PBE.

The value obtained for the density of states at the Fermi level is 2.63 states/eV per cell. Its energy is -0.4205 Ry/atom. The calculation puts the energy above the most stable polymorph in this dataset at 0.000 eV per atom. The density comes out at 7.95 g cm⁻³. The value obtained for the calculated volume is 96.4 Å³/cell. The energy of formation comes out at 0.26 eV/f.u.

It has space group I4mm (No. 107), with a = 2.759 Å, b = 2.759 Å, c = 12.665 Å, α = 90.00°, β = 90.00° and γ = 90.00°. The asymmetric unit holds Al at (0.000, 0.000, 0.000), Ag at (0.000, 0.000, 0.666) and Mo at (0.000, 0.000, 0.346).

=====

[8]
Ni4MoRh: relaxed, PBE.

The value obtained for the density of states at the Fermi level is 17.85 states/eV per cell. Its energy is -0.5087 Ry/atom. The calculation puts the energy above the most stable polymorph in this dataset at 0.027 eV per atom. The density comes out at 9.81 g cm⁻³. The value obtained for the calculated volume is 146.8 Å³/cell. The energy of formation comes out at -0.22 eV/f.u.

It has space group C2/m (No. 12), with a = 4.497 Å, b = 7.716 Å, c = 4.477 Å, α = 90.00°, β = 109.10° and γ = 90.00°. The asymmetric unit holds Ni at (0.000, 0.167, 0.000), Ni at (0.000, 0.332, 0.500), Mo at (0.000, 0.000, 0.500) and Rh at (0.000, 0.500, 0.000).

=====

[9]
ErTl2Hg: relaxed, PBE.

The value obtained for the density of states at the Fermi level is 3.02 states/eV per cell. Its energy is -0.1925 Ry/atom. The density comes out at 12.50 g cm⁻³. The value obtained for the calculated volume is 103.2 Å³/cell. The energy of formation comes out at -0.88 eV/f.u.

It has space group P4/mmm (No. 123), with a = 4.709 Å, b = 4.709 Å, c = 4.654 Å, α = 90.00°, β = 90.00° and γ = 90.00°. The asymmetric unit holds Er at (0.000, 0.000, 0.000), Tl at (0.000, 0.500, 0.500) and Hg at (0.500, 0.500, 0.000).

=====

[10]
Er3IrPd2: relaxed, PBE.

The value obtained for the density of states at the Fermi level is 10.59 states/eV per cell. Its energy is -0.4727 Ry/atom. The density comes out at 12.23 g cm⁻³. The value obtained for the calculated volume is 492.6 Å³/cell. The energy of formation comes out at -5.65 eV/f.u.

It has space group Cmmm (No. 65), with a = 4.888 Å, b = 14.661 Å, c = 6.874 Å, α = 90.00°, β = 90.00° and γ = 90.00°. The asymmetric unit holds Er at (0.000, 0.000, 0.245), Er at (0.000, 0.331, 0.242), Ir at (0.000, 0.164, 0.000), Pd at (0.000, 0.167, 0.500), Pd at (0.000, 0.500, 0.000) and Pd at (0.000, 0.500, 0.500).

=====

[11]
VBiIr2: relaxed, PBE.

The value obtained for the density of states at the Fermi level is 11.50 states/eV per cell. Its energy is -0.5225 Ry/atom. The density comes out at 11.17 g cm⁻³. The value obtained for the calculated volume is 383.3 Å³/cell. The energy of formation comes out at 2.29 eV/f.u.

It has space group I-42d (No. 122), with a = 5.619 Å, b = 5.619 Å, c = 12.138 Å, α = 90.00°, β = 90.00° and γ = 90.00°. The asymmetric unit holds V at (0.000, 0.000, 0.000), Bi at (0.000, 0.000, 0.500) and Ir at (0.196, 0.250, 0.125).

=====

[12]
TiHgSbTe2: relaxed, PBE.

The value obtained for the density of states at the Fermi level is 7.70 states/eV per cell. Its energy is -0.2006 Ry/atom. The energy relative to the elements, uncorrected comes out at 991 meV/atom. The calculation puts the energy above the most stable polymorph in this dataset at 1.012 eV per atom. The density comes out at 6.17 g cm⁻³. The value obtained for the calculated volume is 168.4 Å³/cell.

It has space group P4/mmm (No. 123), with a = 5.553 Å, b = 5.553 Å, c = 5.461 Å, α = 90.00°, β = 90.00° and γ = 90.00°. The asymmetric unit holds Ti at (0.000, 0.000, 0.000), Hg at (0.500, 0.500, 0.500), Sb at (0.500, 0.500, 0.000) and Te at (0.000, 0.500, 0.500).